## Ca4Sm3DyTe8 (PBE)

Data for a relaxed structure of Ca4Sm3DyTe8.

Cell and atoms, written as POSCAR:
```
Ca4Sm3DyTe8
1.0
-3.2358 -6.6251 -4.8797
1.2571 -5.6699 6.8642
-4.7897 7.3289 1.2360
Ca Sm Dy Te
4 3 1 8
Direct
0.5000 0.0000 0.0000
0.5000 0.0000 0.5000
0.0000 0.0000 0.0000
0.0000 0.0000 0.5000
0.5000 0.5000 0.0000
0.5000 0.5000 0.5000
0.0000 0.5000 0.5000
0.0000 0.5000 0.0000
0.2477 0.7490 0.0013
0.2478 0.7492 0.4957
0.2493 0.2480 0.4987
0.7536 0.7490 0.0013
0.2464 0.2510 0.9987
0.7507 0.7520 0.5013
0.7522 0.2508 0.5043
0.7523 0.2510 0.9987
```

Density of states at the Fermi level ... 6.1 states/eV/f.u.
ΔE_f (raw) ... -23.778 eV/f.u.
Total moment ... 0.000 μB/atom
Calculated volume ... 31.321 Å³/atom